# 1
## Tm5HgBi5 (PBE)

Data for a relaxed Tm5HgBi5 crystal.

It has space group C2/m (No. 12), with a = 13.370 Å, b = 6.182 Å, c = 9.075 Å, α = 90.00°, β = 108.81° and γ = 90.00°. Symmetry generates all atoms from Tm at (0.000, 0.000, 0.000), Tm at (0.173, 0.500, 0.346), Tm at (0.180, 0.500, 0.825), Hg at (0.000, 0.500, 0.000), Bi at (0.000, 0.500, 0.500), Bi at (0.144, 0.000, 0.341) and Bi at (0.164, 0.000, 0.826).

As for the crystal system: monoclinic. For the total DFT energy (no corrections), the calculation gives -94.0 eV for the cell shown.



# 2
## Tm7Hg4Bi (PBE)

Data for a relaxed Tm7Hg4Bi crystal.

It has space group C2/m (No. 12), with a = 14.962 Å, b = 5.694 Å, c = 8.847 Å, α = 90.00°, β = 117.73° and γ = 90.00°. Symmetry generates all atoms from Tm at (0.000, 0.000, 0.000), Tm at (0.075, 0.500, 0.406), Tm at (0.171, 0.500, 0.876), Tm at (0.216, 0.000, 0.671), Hg at (0.027, 0.000, 0.687), Hg at (0.201, 0.000, 0.315) and Bi at (0.000, 0.500, 0.000).

As for the crystal system: monoclinic. For the total DFT energy (no corrections), the calculation gives -79.1 eV for the cell shown.



# 3
## Tm6HgBi2 (PBE)

Data for a relaxed Tm6HgBi2 crystal.

It has space group P-62m (No. 189), with a = 8.3900 Å, b = 8.3900 Å, c = 4.1835 Å, α = 90.00°, β = 90.00° and γ = 120.00°. Symmetry generates all atoms from Tm at (0.0000, 0.2539, 0.0000), Tm at (0.0000, 0.6030, 0.5000), Hg at (0.0000, 0.0000, 0.5000) and Bi at (0.3333, 0.6667, 0.0000).

As for the crystal system: hexagonal. For the total DFT energy (no corrections), the calculation gives -38.9 eV for the cell shown.



Number 1: size of the total moment 0.244 μB/f.u.. Number 2: size of the total moment 0.000 μB/f.u.. Number 3: size of the total moment 2.043 μB/f.u..